This record from Alexandria describes Pm4Sm10Ho after structural relaxation. The functional is PBE.

Properties
Symmetry: I4/m

```
data_Pm4Sm10Ho
_cell_length_a 9.052
_cell_length_b 9.052
_cell_length_c 9.052
_cell_angle_alpha 113.95
_cell_angle_beta 113.95
_cell_angle_gamma 100.84
_symmetry_space_group_name_H-M 'P 1'
_symmetry_Int_Tables_number 1
loop_
_symmetry_equiv_pos_as_xyz
'x,y,z'
loop_
_atom_site_label
_atom_site_fract_x
_atom_site_fract_y
_atom_site_fract_z
Pm1 0.065 0.317 0.382
Pm2 0.317 0.935 0.251
Pm3 0.683 0.065 0.749
Pm4 0.935 0.683 0.618
Sm1 0.110 0.457 0.891
Sm2 0.218 0.110 0.653
Sm3 0.250 0.750 0.500
Sm4 0.434 0.782 0.891
Sm5 0.457 0.566 0.347
Sm6 0.543 0.434 0.653
Sm7 0.566 0.218 0.109
Sm8 0.750 0.250 0.500
Sm9 0.782 0.890 0.347
Sm10 0.890 0.543 0.109
Ho1 0.500 0.500 0.000
```

***

This record from Alexandria describes Pm7Sm2Ho2 after structural relaxation. The functional is PBE.

Properties
Excess energy over the best structure of this formula in the dataset, meV per atom: 30
Symmetry: C2/m

```
data_Pm7Sm2Ho2
_cell_length_a 8.149
_cell_length_b 8.149
_cell_length_c 6.107
_cell_angle_alpha 105.63
_cell_angle_beta 105.63
_cell_angle_gamma 89.90
_symmetry_space_group_name_H-M 'P 1'
_symmetry_Int_Tables_number 1
loop_
_symmetry_equiv_pos_as_xyz
'x,y,z'
loop_
_atom_site_label
_atom_site_fract_x
_atom_site_fract_y
_atom_site_fract_z
Pm1 0.000 0.000 0.000
Pm2 0.051 0.589 0.823
Pm3 0.229 0.229 0.595
Pm4 0.411 0.949 0.177
Pm5 0.589 0.051 0.823
Pm6 0.771 0.771 0.405
Pm7 0.949 0.411 0.177
Sm1 0.421 0.421 0.200
Sm2 0.579 0.579 0.800
Ho1 0.218 0.782 0.500
Ho2 0.782 0.218 0.500
```

***

This record from Alexandria describes Pm4SmHo6 after structural relaxation. The functional is PBE.

Properties
Excess energy over the best structure of this formula in the dataset, meV per atom: 142
Symmetry: I-42m

```
data_Pm4SmHo6
_cell_length_a 8.492
_cell_length_b 8.492
_cell_length_c 8.492
_cell_angle_alpha 125.92
_cell_angle_beta 125.92
_cell_angle_gamma 80.02
_symmetry_space_group_name_H-M 'P 1'
_symmetry_Int_Tables_number 1
loop_
_symmetry_equiv_pos_as_xyz
'x,y,z'
loop_
_atom_site_label
_atom_site_fract_x
_atom_site_fract_y
_atom_site_fract_z
Pm1 0.251 0.251 0.654
Pm2 0.402 0.749 0.000
Pm3 0.598 0.598 0.346
Pm4 0.749 0.402 0.000
Sm1 0.000 0.000 0.000
Ho1 0.000 0.500 0.500
Ho2 0.063 0.568 0.000
Ho3 0.432 0.432 0.495
Ho4 0.500 0.000 0.500
Ho5 0.568 0.063 0.000
Ho6 0.937 0.937 0.505
```

***

Listing energy relative to the elements for the structures above in their given order: 401; 141; 448 meV/atom.
Listing final energy for the structures above in their given order: -4.32; -4.57; -4.21 eV/atom.